# 1
The following is a DFT calculation (PBE-GGA) of a geometry-optimized GdHo2Zn3Ir2Pt structure.

The structure in POSCAR format:
```
GdHo2Zn3Ir2Pt
1.0
3.8879 0.0000 0.0000
0.0000 6.2349 3.5862
0.0000 -6.2349 3.5862
Gd Ho Zn Ir Pt
1 2 3 2 1
Cartesian
0.0000 0.0000 0.0000
0.0000 -2.5363 2.7799
0.0000 2.5363 2.7799
1.9439 0.0000 2.4168
1.9439 -1.5856 5.1464
1.9439 1.5856 5.1464
1.9439 -4.1298 4.2436
1.9439 4.1298 4.2436
0.0000 0.0000 4.2201
```

Summary:
As for the crystal system: orthorhombic. The value obtained for the magnetization is 0.02 μB/cell. The formation energy comes out at -0.794 eV/atom.

***

# 2
The following is a DFT calculation (PBE-GGA) of a geometry-optimized Gd3Ho2ScTe2Ir structure.

The structure in POSCAR format:
```
Gd3Ho2ScTe2Ir
1.0
4.0085 0.0000 0.0000
0.0000 7.0976 4.1537
0.0000 -7.0976 4.1537
Gd Ho Sc Te Ir
3 2 1 2 1
Cartesian
0.0000 0.0000 0.0000
0.0000 -2.7675 3.2812
0.0000 2.7675 3.2812
2.0043 -1.6633 5.9289
2.0043 1.6633 5.9289
2.0043 0.0000 2.9506
2.0043 -4.7539 4.9427
2.0043 4.7539 4.9427
0.0000 0.0000 4.7020
```

Summary:
The final energy comes out at -5.840 eV/atom. As for the crystal system: orthorhombic. The value obtained for the magnetization is 0.04 μB/cell.